Material: AcNiIrO6
Method: DFT, GGA+U
State: relaxed

**Total DFT energy (no corrections)**: -6.508 eV/atom
**Total magnetization**: 3.7 μB/f.u.
**DOS at the Fermi energy**: 5.2 states/eV/f.u.

Cell lengths 5.290, 5.281, 5.281 Å; angles 120.00, 90.00, 90.00 degrees
Atoms (fractional coordinates):
Ac 0.000 0.333 0.667
Ni 0.500 0.667 0.333
Ir 0.500 0.000 0.000
O 0.706 0.716 0.685
O 0.706 0.315 0.031
O 0.706 0.969 0.284
O 0.294 0.315 0.284
O 0.294 0.716 0.031
O 0.294 0.969 0.685